[1]
Here is crystalline Cs2CdSn2 at its relaxed geometry from Alexandria. Energies are from PBE.

* excess energy over the best structure of this formula in the dataset: 144 meV per atom
* symmetry: P4/mbm

a b c (Å): 11.3371 11.3371 3.6441
angles (deg): 90.00 90.00 90.00
Last column: nearest neighbours and their distance in Å.
Element x y z (fractional)
1 Cs 0.2047 0.2953 0.0000  2 Cs 3.64, 6 Sn 3.79-4.01
2 Cs 0.2953 0.7953 0.0000  2 Cs 3.64, 6 Sn 3.79-4.01
3 Cs 0.7047 0.2047 0.0000  2 Cs 3.64, 6 Sn 3.79-4.01
4 Cs 0.7953 0.7047 0.0000  2 Cs 3.64, 6 Sn 3.79-4.01
5 Cd 0.0000 0.0000 0.5000  2 Cd 3.64
6 Cd 0.5000 0.5000 0.5000  2 Cd 3.64
7 Sn 0.0879 0.5879 0.5000  1 Sn 2.82
8 Sn 0.4121 0.0879 0.5000  1 Sn 2.82
9 Sn 0.5879 0.9121 0.5000  1 Sn 2.82
10 Sn 0.9121 0.4121 0.5000  1 Sn 2.82

---

[2]
Here is crystalline CsCdSn at its relaxed geometry from Alexandria. Energies are from PBE.

* excess energy over the best structure of this formula in the dataset: 120 meV per atom
* symmetry: I4mm

a b c (Å): 7.5246 7.5246 7.5246
angles (deg): 147.86 147.86 46.09
Last column: nearest neighbours and their distance in Å.
Element x y z (fractional)
1 Cs 0.0000 0.0000 0.0000  1 Cd 3.76, 1 Sn 3.91, 4 Cs 4.17
2 Cd 0.7284 0.7284 0.0000  4 Sn 3.04
3 Sn 0.2823 0.2823 0.0000  4 Cd 3.04

---

[3]
Here is crystalline CsCd6Sn2 at its relaxed geometry from Alexandria. Energies are from PBE.

* symmetry: P4/mmm

a b c (Å): 5.1446 5.1446 9.9521
angles (deg): 90.00 90.00 90.00
Last column: nearest neighbours and their distance in Å.
Element x y z (fractional)
1 Cs 0.0000 0.0000 0.0000  8 Sn 4.02, 8 Cd 4.13
2 Cd 0.0000 0.0000 0.5000  8 Cd 3.11
3 Cd 0.0000 0.5000 0.3249  2 Sn 2.99, 4 Cd 3.11
4 Cd 0.0000 0.5000 0.6751  2 Sn 2.99, 4 Cd 3.11
5 Cd 0.5000 0.0000 0.3249  2 Sn 2.99, 4 Cd 3.11
6 Cd 0.5000 0.0000 0.6751  2 Sn 2.99, 4 Cd 3.11
7 Cd 0.5000 0.5000 0.5000  8 Cd 3.11, 2 Sn 3.26
8 Sn 0.5000 0.5000 0.1720  5 Cd 2.99-3.26
9 Sn 0.5000 0.5000 0.8280  5 Cd 2.99-3.26

---

[4]
Here is crystalline CsCd2Sn6 at its relaxed geometry from Alexandria. Energies are from PBE.

* symmetry: P4/mmm

a b c (Å): 4.9386 4.9386 11.2807
angles (deg): 90.00 90.00 90.00
Last column: nearest neighbours and their distance in Å.
Element x y z (fractional)
1 Cs 0.0000 0.0000 0.0000  8 Cd 3.79, 8 Sn 4.19
2 Cd 0.5000 0.5000 0.1303  1 Cd 2.94, 4 Sn 3.13
3 Cd 0.5000 0.5000 0.8697  1 Cd 2.94, 4 Sn 3.13
4 Sn 0.0000 0.0000 0.5000  12 Sn 3.34-3.49
5 Sn 0.0000 0.5000 0.3004  2 Cd 3.13, 8 Sn 3.34-3.49
6 Sn 0.0000 0.5000 0.6996  2 Cd 3.13, 8 Sn 3.34-3.49
7 Sn 0.5000 0.0000 0.3004  2 Cd 3.13, 8 Sn 3.34-3.49
8 Sn 0.5000 0.0000 0.6996  2 Cd 3.13, 8 Sn 3.34-3.49
9 Sn 0.5000 0.5000 0.5000  12 Sn 3.34-3.49

---

[5]
Here is crystalline CsCd2Sn4 at its relaxed geometry from Alexandria. Energies are from PBE.

* excess energy over the best structure of this formula in the dataset: 36 meV per atom
* symmetry: P4_2/mnm

a b c (Å): 9.3757 9.3757 5.0238
angles (deg): 90.00 90.00 90.00
Last column: nearest neighbours and their distance in Å.
Element x y z (fractional)
1 Cs 0.0000 0.0000 0.0000  6 Cd 3.71-3.86
2 Cs 0.5000 0.5000 0.5000  6 Cd 3.71-3.86
3 Cd 0.2205 0.2205 0.5000  6 Sn 3.06-3.21
4 Cd 0.2795 0.7205 0.0000  6 Sn 3.06-3.21
5 Cd 0.7205 0.2795 0.0000  6 Sn 3.06-3.21
6 Cd 0.7795 0.7795 0.5000  6 Sn 3.06-3.21
7 Sn 0.0790 0.6506 0.5000  3 Cd 3.06-3.21, 5 Sn 3.19-3.38
8 Sn 0.1506 0.4210 0.0000  3 Cd 3.06-3.21, 5 Sn 3.19-3.38
9 Sn 0.3494 0.9210 0.5000  3 Cd 3.06-3.21, 5 Sn 3.19-3.38
10 Sn 0.4210 0.1506 0.0000  3 Cd 3.06-3.21, 5 Sn 3.19-3.38
11 Sn 0.5790 0.8494 0.0000  3 Cd 3.06-3.21, 5 Sn 3.19-3.38
12 Sn 0.6506 0.0790 0.5000  3 Cd 3.06-3.21, 5 Sn 3.19-3.38
13 Sn 0.8494 0.5790 0.0000  3 Cd 3.06-3.21, 5 Sn 3.19-3.38
14 Sn 0.9210 0.3494 0.5000  3 Cd 3.06-3.21, 5 Sn 3.19-3.38

---

[6]
Here is crystalline CsCd5Sn2 at its relaxed geometry from Alexandria. Energies are from PBE.

* symmetry: Immm

a b c (Å): 7.5463 7.5463 7.5463
angles (deg): 142.81 112.52 79.64
Last column: nearest neighbours and their distance in Å.
Element x y z (fractional)
1 Cs 0.0000 0.0000 0.0000  4 Sn 3.78, 10 Cd 3.89-4.19
2 Cd 0.1825 0.3676 0.8149  3 Sn 2.98-3.16, 4 Cd 3.07-3.25
3 Cd 0.4473 0.6324 0.8149  3 Sn 2.98-3.16, 4 Cd 3.07-3.25
4 Cd 0.5000 0.0000 0.5000  2 Sn 2.87
5 Cd 0.5527 0.3676 0.1851  3 Sn 2.98-3.16, 4 Cd 3.07-3.25
6 Cd 0.8175 0.6324 0.1851  3 Sn 2.98-3.16, 4 Cd 3.07-3.25
7 Sn 0.2520 0.7520 0.5000  7 Cd 2.87-3.16
8 Sn 0.7480 0.2480 0.5000  7 Cd 2.87-3.16

---

[7]
Here is crystalline CsCd2Sn at its relaxed geometry from Alexandria. Energies are from PBE.

* symmetry: R-3m

a b c (Å): 7.4009 7.4009 7.4009
angles (deg): 40.93 40.93 40.93
Last column: nearest neighbours and their distance in Å.
Element x y z (fractional)
1 Cs 0.0000 0.0000 0.0000  8 Cd 4.02-4.06
2 Cd 0.1978 0.1978 0.1978  3 Sn 3.05, 3 Cd 3.24
3 Cd 0.8022 0.8022 0.8022  3 Sn 3.05, 3 Cd 3.24
4 Sn 0.5000 0.5000 0.5000  6 Cd 3.05

---

[8]
Here is crystalline Cs2CdSn2 at its relaxed geometry from Alexandria. Energies are from PBE.

* excess energy over the best structure of this formula in the dataset: 0 meV per atom
* symmetry: C2/c

a b c (Å): 7.1387 7.1387 9.1012
angles (deg): 96.67 96.67 70.43
Last column: nearest neighbours and their distance in Å.
Element x y z (fractional)
1 Cs 0.0052 0.7119 0.8798  5 Sn 3.76-4.15, 1 Cd 3.91, 1 Cs 3.96
2 Cs 0.2881 0.9948 0.6202  5 Sn 3.76-4.15, 1 Cd 3.91, 1 Cs 3.96
3 Cs 0.7119 0.0052 0.3798  5 Sn 3.76-4.15, 1 Cd 3.91, 1 Cs 3.96
4 Cs 0.9948 0.2881 0.1202  5 Sn 3.76-4.15, 1 Cd 3.91, 1 Cs 3.96
5 Cd 0.4574 0.5426 0.2500  4 Sn 3.10-3.18
6 Cd 0.5426 0.4574 0.7500  4 Sn 3.10-3.18
7 Sn 0.1962 0.5120 0.4890  1 Sn 2.89, 2 Cd 3.10-3.18
8 Sn 0.4880 0.8038 0.0110  1 Sn 2.89, 2 Cd 3.10-3.18
9 Sn 0.5120 0.1962 0.9890  1 Sn 2.89, 2 Cd 3.10-3.18
10 Sn 0.8038 0.4880 0.5110  1 Sn 2.89, 2 Cd 3.10-3.18

---

[9]
Here is crystalline CsCd8Sn2 at its relaxed geometry from Alexandria. Energies are from PBE.

* symmetry: Cmmm

a b c (Å): 5.5711 5.5711 12.4826
angles (deg): 90.00 90.00 116.08
Last column: nearest neighbours and their distance in Å.
Element x y z (fractional)
1 Cs 0.0000 0.0000 0.0000  8 Cd 3.97
2 Cd 0.0000 0.5000 0.2267  4 Cd 2.95-3.18
3 Cd 0.0000 0.5000 0.5000  2 Cd 2.95, 4 Sn 3.23
4 Cd 0.0000 0.5000 0.7733  4 Cd 2.95-3.18
5 Cd 0.5000 0.0000 0.2267  4 Cd 2.95-3.18
6 Cd 0.5000 0.0000 0.5000  2 Cd 2.95, 4 Sn 3.23
7 Cd 0.5000 0.0000 0.7733  4 Cd 2.95-3.18
8 Cd 0.5000 0.5000 0.3489  2 Sn 2.96, 4 Cd 3.18
9 Cd 0.5000 0.5000 0.6511  2 Sn 2.96, 4 Cd 3.18
10 Sn 0.0000 0.0000 0.3691  10 Cd 2.96-3.30, 1 Sn 3.27
11 Sn 0.0000 0.0000 0.6309  10 Cd 2.96-3.30, 1 Sn 3.27

---

[10]
Here is crystalline CsCd2Sn at its relaxed geometry from Alexandria. Energies are from PBE.

* symmetry: I-42d

a b c (Å): 10.6674 10.6674 10.6674
angles (deg): 146.73 146.73 47.76
Last column: nearest neighbours and their distance in Å.
Element x y z (fractional)
1 Cs 0.0000 0.0000 0.0000  8 Cd 4.19-4.20, 4 Sn 4.32
2 Cs 0.7500 0.2500 0.5000  8 Cd 4.19-4.20, 4 Sn 4.32
3 Cd 0.3741 0.6250 0.2491  2 Sn 2.88, 2 Cd 3.05
4 Cd 0.3750 0.6241 0.7491  2 Sn 2.88, 2 Cd 3.05
5 Cd 0.3759 0.1250 0.7509  2 Sn 2.88, 2 Cd 3.05
6 Cd 0.8750 0.6259 0.2509  2 Sn 2.88, 2 Cd 3.05
7 Sn 0.2500 0.7500 0.5000  4 Cd 2.88
8 Sn 0.5000 0.5000 0.0000  4 Cd 2.88

---

[11]
Here is crystalline CsCd2Sn2 at its relaxed geometry from Alexandria. Energies are from PBE.

* excess energy over the best structure of this formula in the dataset: 147 meV per atom
* symmetry: P4/mbm

a b c (Å): 9.5709 9.5709 3.3852
angles (deg): 90.00 90.00 90.00
Last column: nearest neighbours and their distance in Å.
Element x y z (fractional)
1 Cs 0.0000 0.0000 0.0000  2 Cs 3.39, 4 Sn 3.73
2 Cs 0.5000 0.5000 0.0000  2 Cs 3.39, 4 Sn 3.73
3 Cd 0.1522 0.3478 0.5000  6 Sn 3.23-3.35, 2 Cd 3.39
4 Cd 0.3478 0.8478 0.5000  6 Sn 3.23-3.35, 2 Cd 3.39
5 Cd 0.6522 0.1522 0.5000  6 Sn 3.23-3.35, 2 Cd 3.39
6 Cd 0.8478 0.6522 0.5000  6 Sn 3.23-3.35, 2 Cd 3.39
7 Sn 0.1344 0.6344 0.0000  6 Cd 3.23-3.35, 2 Sn 3.39
8 Sn 0.3656 0.1344 0.0000  6 Cd 3.23-3.35, 2 Sn 3.39
9 Sn 0.6344 0.8656 0.0000  6 Cd 3.23-3.35, 2 Sn 3.39
10 Sn 0.8656 0.3656 0.0000  6 Cd 3.23-3.35, 2 Sn 3.39

---

[12]
Here is crystalline CsCd2Sn2 at its relaxed geometry from Alexandria. Energies are from PBE.

* excess energy over the best structure of this formula in the dataset: 38 meV per atom
* symmetry: I4/mmm

a b c (Å): 7.4807 7.4807 7.4807
angles (deg): 141.36 141.36 55.80
Last column: nearest neighbours and their distance in Å.
Element x y z (fractional)
1 Cs 0.0000 0.0000 0.0000  8 Cd 3.79, 8 Sn 4.13
2 Cd 0.3893 0.3893 0.0000  1 Cd 2.93, 4 Sn 3.09
3 Cd 0.6107 0.6107 0.0000  1 Cd 2.93, 4 Sn 3.09
4 Sn 0.2500 0.7500 0.5000  4 Cd 3.09
5 Sn 0.7500 0.2500 0.5000  4 Cd 3.09

---

What formation energy from the elements values result from the calculations? In sequence: 0.246; -0.052; -0.461; -0.082; -0.252; -0.578; -0.333; -0.473; 0.179; -0.027; -0.010; -0.553 eV per formula unit.